[1]
First-principles (PBE) data for a geometry-optimized Mg2TaAs structure, as listed in Alexandria.

- electronic total energy (eV/atom) = -4.61
- total magnetization (Bohr magnetons per cell) = 0.0
- calculated volume (Å³ per atom) = 20.165
- E_form (eV/atom) = 0.31
- SG = No. 122

Lattice parameters (Å, degrees): 6.143 6.143 6.143 100.37 100.37 129.78
Element x y z (fractional)
Mg (0.080, 0.125, 0.455)
Mg (0.375, 0.920, 0.045)
Mg (0.670, 0.625, 0.545)
Mg (0.875, 0.330, 0.955)
Ta (0.250, 0.750, 0.500)
Ta (0.500, 0.500, 0.000)
As (0.000, 0.000, 0.000)
As (0.750, 0.250, 0.500)

[2]
First-principles (PBE) data for a geometry-optimized LiHoAg2 structure, as listed in Alexandria.

- electronic total energy (eV/atom) = -3.28
- total magnetization (Bohr magnetons per cell) = 0.0
- calculated volume (Å³ per atom) = 20.426
- E_form (eV/atom) = -0.23
- SG = No. 59
- offset from the most stable computed form (eV per formula unit) = 0.01

Lattice parameters (Å, degrees): 4.821 6.505 5.211 90.00 90.00 90.00
Element x y z (fractional)
Li (0.250, 0.250, 0.244)
Li (0.750, 0.750, 0.756)
Ho (0.250, 0.750, 0.171)
Ho (0.750, 0.250, 0.829)
Ag (0.250, 0.506, 0.675)
Ag (0.250, 0.994, 0.675)
Ag (0.750, 0.006, 0.325)
Ag (0.750, 0.494, 0.325)

[3]
First-principles (PBE) data for a geometry-optimized Ba2ZnGaHg6 structure, as listed in Alexandria.

- electronic total energy (eV/atom) = -1.24
- total magnetization (Bohr magnetons per cell) = 0.0
- calculated volume (Å³ per atom) = 30.354
- E_form (eV/atom) = -0.25
- SG = No. 2

Lattice parameters (Å, degrees): 7.415 7.525 7.548 90.55 119.40 119.00
Element x y z (fractional)
Ba (0.002, 0.288, 0.214)
Ba (0.998, 0.712, 0.786)
Zn (0.500, 0.000, 0.500)
Ga (0.500, 0.500, 0.000)
Hg (0.005, 0.774, 0.274)
Hg (0.412, 0.204, 0.705)
Hg (0.498, 0.753, 0.748)
Hg (0.502, 0.247, 0.252)
Hg (0.588, 0.796, 0.295)
Hg (0.995, 0.226, 0.726)

[4]
First-principles (PBE) data for a geometry-optimized FeSiHgBiPt structure, as listed in Alexandria.

- electronic total energy (eV/atom) = -4.71
- total magnetization (Bohr magnetons per cell) = 0.4
- calculated volume (Å³ per atom) = 18.917
- SG = No. 8
- offset from the most stable computed form (eV per formula unit) = 0.87
- E_form (uncorrected) (eV per atom) = 0.1167

Lattice parameters (Å, degrees): 4.904 4.904 5.734 90.57 90.57 43.31
Element x y z (fractional)
Fe (0.000, 0.000, 0.000)
Si (0.446, 0.446, 0.221)
Hg (0.163, 0.163, 0.403)
Bi (0.719, 0.719, 0.886)
Pt (0.439, 0.439, 0.635)